This record from Alexandria via LeMat-Bulk describes a relaxed structure of Th6Ir2Os3Se. The functional is PBE-GGA.

Unit cell a=9.2768 b=9.2768 c=8.3757 alpha=103.36 beta=103.36 gamma=25.70
Closest atoms and distances in Å follow each position.
Fractional coordinates of all 12 atoms:
1 Th 0.0004 0.0004 0.2298  3 Os 2.82-2.83, 1 Ir 2.94, 2 Se 3.06
2 Th 0.9996 0.9996 0.7702  3 Os 2.82-2.83, 1 Ir 2.94, 2 Se 3.06
3 Th 0.3249 0.3249 0.4174  3 Os 2.88-2.92, 2 Ir 2.96, 1 Se 3.08
4 Th 0.3329 0.3329 0.9152  3 Ir 2.93-2.96, 3 Os 2.94
5 Th 0.6671 0.6671 0.0848  3 Ir 2.93-2.96, 3 Os 2.94
6 Th 0.6751 0.6751 0.5826  3 Os 2.88-2.92, 2 Ir 2.96, 1 Se 3.08
7 Ir 0.1663 0.1663 0.8305  6 Th 2.93-2.96
8 Ir 0.8337 0.8337 0.1695  6 Th 2.93-2.96
9 Os 0.1610 0.1610 0.3312  6 Th 2.83-2.94
10 Os 0.5000 0.5000 0.0000  6 Th 2.82-2.94
11 Os 0.8390 0.8390 0.6688  6 Th 2.83-2.94
12 Se 0.5000 0.5000 0.5000  6 Th 3.06-3.08

## Properties
The total energy is -8.9588 eV/atom. For the uncorrected formation energy, the calculation gives -0.674 eV/atom. The value obtained for the density of states at the Fermi level is 0.36 states/eV/atom. The crystal system is monoclinic.